Density functional theory data (PBE) for a relaxed structure of MgSn2Hg.

The space group is F-43m (No. 216) and the conventional cell measures 7.4472, 7.4472 and 7.4472 Å, with angles of 90.00, 90.00 and 90.00 degrees. The asymmetric unit holds Mg at (0.0000, 0.0000, 0.0000), Sn at (0.0000, 0.0000, 0.5000), Sn at (0.2500, 0.2500, 0.7500) and Hg at (0.2500, 0.2500, 0.2500).

The calculated formation energy comes out at -0.02 eV/atom. Its density of states at the Fermi level is 0.200 states/eV per atom.